1.
VASP calculation (PBE) on a relaxed structure of Lu4InPbC2.

Cell lengths 3.5376, 3.5376, 15.8011 Å; angles 90.00, 90.00, 120.00 degrees
Closest atoms and distances in Å follow each position.
Atoms (fractional coordinates):
Lu (0.0000, 0.0000, 0.1667)  3 C 2.44
Lu (0.0000, 0.0000, 0.8333)  3 C 2.44
Lu (0.6667, 0.3333, 0.3305)  3 C 2.40
Lu (0.6667, 0.3333, 0.6695)  3 C 2.40
In (0.6667, 0.3333, 0.0000)  6 Lu 3.33, 6 In 3.54
Pb (0.0000, 0.0000, 0.5000)  6 Lu 3.37, 6 Pb 3.54
C (0.3333, 0.6667, 0.2510)  6 Lu 2.40-2.44
C (0.3333, 0.6667, 0.7490)  6 Lu 2.40-2.44

Computed properties:
E	-5.89	eV/atom
density	10.14	g/cm3
SG	P-6m2, No. 187



2.
VASP calculation (PBE) on a relaxed structure of Nd2Sn2Ir3Pd.

Cell lengths 4.5586, 4.5586, 9.3612 Å; angles 90.00, 90.00, 120.00 degrees
Closest atoms and distances in Å follow each position.
Atoms (fractional coordinates):
Nd (0.0000, 0.0000, 0.0000)  5 Ir 3.03-3.15, 3 Pd 3.07
Nd (0.3333, 0.6667, 0.5093)  7 Ir 3.03-3.09, 1 Pd 3.19
Sn (0.6667, 0.3333, 0.2683)  3 Ir 2.71, 3 Pd 2.79
Sn (0.6667, 0.3333, 0.7583)  6 Ir 2.74-2.76
Ir (0.0000, 0.0000, 0.3360)  3 Sn 2.71
Ir (0.0000, 0.0000, 0.6707)  3 Sn 2.76, 4 Nd 3.03-3.08, 3 Ir 3.07
Ir (0.3333, 0.6667, 0.8388)  3 Sn 2.74, 3 Nd 3.03
Pd (0.3333, 0.6667, 0.1685)  3 Sn 2.79, 4 Ir 3.06-3.09, 3 Nd 3.07

Computed properties:
E	-6.73	eV/atom
density	11.92	g/cm3
SG	P3m1, No. 156



3.
VASP calculation (PBE) on a relaxed structure of Tb2DyMg3TlGa2.

Cell lengths 4.5530, 7.3520, 7.3520 Å; angles 119.93, 90.00, 90.00 degrees
Closest atoms and distances in Å follow each position.
Atoms (fractional coordinates):
Tb (0.0000, 0.2183, 0.7817)  4 Ga 3.15, 1 Tl 3.21, 2 Mg 3.24
Tb (0.0000, 0.7817, 0.2183)  4 Ga 3.15, 1 Tl 3.21, 2 Mg 3.24
Dy (0.0000, 0.6549, 0.6549)  4 Ga 3.14, 1 Tl 3.21, 2 Mg 3.24
Mg (0.5000, 0.2184, 0.4689)  2 Ga 2.81, 2 Tl 2.93
Mg (0.5000, 0.4689, 0.2184)  2 Ga 2.81, 2 Tl 2.93
Mg (0.5000, 0.9680, 0.9680)  2 Ga 2.80, 2 Tl 2.93
Tl (0.0000, 0.2192, 0.2192)  6 Mg 2.93, 1 Dy 3.21, 2 Tb 3.21
Ga (0.5000, 0.5520, 0.8846)  3 Mg 2.80-2.81
Ga (0.5000, 0.8846, 0.5520)  3 Mg 2.80-2.81

Computed properties:
E	-3.44	eV/atom
density	6.98	g/cm3
SG	Amm2, No. 38



4.
VASP calculation (PBE) on a relaxed structure of LiLaCoAs.

Cell lengths 4.5543, 4.5543, 4.5543 Å; angles 60.00, 60.00, 60.00 degrees
Closest atoms and distances in Å follow each position.
Atoms (fractional coordinates):
Li (0.0000, 0.0000, 0.0000)  4 As 2.79, 4 La 2.79
La (0.2500, 0.2500, 0.2500)  4 Co 2.79, 4 Li 2.79
Co (0.5000, 0.5000, 0.5000)  4 La 2.79, 4 As 2.79
As (0.7500, 0.7500, 0.7500)  4 Li 2.79, 4 Co 2.79

Computed properties:
offset from the most stable computed form	0.000	eV per atom
E	-5.11	eV/atom
density	6.95	g/cm3
SG	F-43m, No. 216



5.
VASP calculation (PBE) on a relaxed structure of MgAlFeSb.

Cell lengths 4.5424, 4.5424, 4.5424 Å; angles 60.00, 60.00, 60.00 degrees
Closest atoms and distances in Å follow each position.
Atoms (fractional coordinates):
Mg (0.0000, 0.0000, 0.0000)  4 Sb 2.78, 4 Al 2.78
Al (0.2500, 0.2500, 0.2500)  4 Fe 2.78, 4 Mg 2.78
Fe (0.5000, 0.5000, 0.5000)  4 Sb 2.78, 4 Al 2.78
Sb (0.7500, 0.7500, 0.7500)  4 Fe 2.78, 4 Mg 2.78

Computed properties:
offset from the most stable computed form	0.000	eV per atom
E	-4.20	eV/atom
density	5.73	g/cm3
SG	F-43m, No. 216



6.
VASP calculation (PBE) on a relaxed structure of HoAlNO.

Cell lengths 3.3673, 6.2745, 5.1842 Å; angles 90.00, 90.00, 90.00 degrees
Closest atoms and distances in Å follow each position.
Atoms (fractional coordinates):
Ho (0.0000, 0.1646, 0.0000)  2 N 2.23, 2 O 2.40-2.42
Ho (0.0000, 0.8354, 0.5000)  2 N 2.23, 2 O 2.40-2.42
Al (0.5000, 0.3513, 0.5357)  2 N 1.84-1.86, 2 O 1.92
Al (0.5000, 0.6487, 0.0357)  2 N 1.84-1.86, 2 O 1.92
N (0.5000, 0.3801, 0.8928)  2 Al 1.84-1.86
N (0.5000, 0.6199, 0.3928)  2 Al 1.84-1.86
O (0.0000, 0.2202, 0.4577)  2 Al 1.92
O (0.0000, 0.7798, 0.9577)  2 Al 1.92

Computed properties:
offset from the most stable computed form	0.117	eV per atom
E	-7.23	eV/atom
density	6.73	g/cm3
SG	Pmc2_1, No. 26



7.
VASP calculation (PBE) on a relaxed structure of NdHgSeO.

Cell lengths 5.8450, 5.8651, 11.5824 Å; angles 90.00, 92.38, 90.00 degrees
Closest atoms and distances in Å follow each position.
Atoms (fractional coordinates):
Nd (0.0055, 0.0000, 0.0975)  4 O 2.35-2.38
Nd (0.4924, 0.0012, 0.9005)  4 O 2.34-2.38
Nd (0.5076, 0.5012, 0.0995)  4 O 2.34-2.38
Nd (0.9945, 0.5000, 0.9025)  4 O 2.35-2.38
Hg (0.2032, 0.7806, 0.4975)  2 Hg 3.03-3.06, 1 Se 3.29
Hg (0.4914, 0.0348, 0.3247)  2 Se 2.54-2.55
Hg (0.5086, 0.5348, 0.6753)  2 Se 2.54-2.55
Hg (0.7968, 0.2806, 0.5025)  2 Hg 3.03-3.06, 1 Se 3.29
Se (0.1813, 0.3346, 0.2865)  1 Hg 2.55
Se (0.2058, 0.2328, 0.7045)  1 Hg 2.54
Se (0.7942, 0.7328, 0.2955)  1 Hg 2.54
Se (0.8187, 0.8346, 0.7135)  1 Hg 2.55
O (0.2506, 0.7487, 0.0003)  4 Nd 2.35-2.38
O (0.2542, 0.2480, 0.9995)  4 Nd 2.34-2.38
O (0.7458, 0.7480, 0.0005)  4 Nd 2.34-2.38
O (0.7494, 0.2487, 0.9997)  4 Nd 2.35-2.38

Computed properties:
offset from the most stable computed form	0.000	eV per atom
E	-5.18	eV/atom
density	7.36	g/cm3
SG	P2_1, No. 4



8.
VASP calculation (PBE) on a relaxed structure of Nd3GdDy2FeTe2.

Cell lengths 4.0357, 8.4903, 8.4903 Å; angles 120.09, 90.00, 90.00 degrees
Closest atoms and distances in Å follow each position.
Atoms (fractional coordinates):
Nd (0.0000, 0.0000, 0.0000)  4 Te 3.29, 1 Fe 3.38, 4 Dy 3.58
Nd (0.0000, 0.1964, 0.5987)  4 Te 3.28, 1 Fe 3.43, 2 Dy 3.59, 2 Gd 3.59
Nd (0.0000, 0.5987, 0.1964)  4 Te 3.28, 1 Fe 3.43, 2 Dy 3.59, 2 Gd 3.59
Gd (0.5000, 0.3682, 0.3682)  2 Fe 2.82
Dy (0.5000, 0.5988, 0.8293)  2 Fe 2.80
Dy (0.5000, 0.8293, 0.5988)  2 Fe 2.80
Fe (0.0000, 0.6013, 0.6013)  4 Dy 2.80, 2 Gd 2.82
Te (0.5000, 0.2654, 0.9312)  6 Nd 3.28-3.29, 2 Dy 3.35, 1 Gd 3.36
Te (0.5000, 0.9312, 0.2654)  6 Nd 3.28-3.29, 2 Dy 3.35, 1 Gd 3.36

Computed properties:
E	-5.39	eV/atom
density	8.09	g/cm3
SG	Amm2, No. 38



- The lowest density belongs to which entry?
  MgAlFeSb



- Which value of E does entry 2 give?
  -6.73 eV/atom



- Which formula does entry 5 have?
  MgAlFeSb